CePrSi3, optimized geometry, DFT PBE; total moment = 0.171 μB per formula unit; space group = Cmcm (63); VASP energy = -6.0824 eV/atom; crystal system = orthorhombic
1.0
2.1640 -12.4794 0.0000
2.1640 12.4794 0.0000
0.0000 0.0000 4.0218
Ce Pr Si
2 2 6
Direct
0.0683 0.9317 0.7500 Ce
0.9317 0.0683 0.2500 Ce
0.2014 0.7986 0.2500 Pr
0.7986 0.2014 0.7500 Pr
0.3284 0.6716 0.2500 Si
0.3838 0.6162 0.7500 Si
0.4766 0.5234 0.7500 Si
0.5234 0.4766 0.2500 Si
0.6162 0.3838 0.2500 Si
0.6716 0.3284 0.7500 Si



Ce2PrZn2Si2, optimized geometry, DFT PBE; total moment = 1.883 μB per formula unit; space group = R-3m (166); VASP energy = -4.7135 eV/atom; crystal system = trigonal
1.0
2.1282 1.2287 9.4174
-2.1282 1.2287 9.4174
0.0000 -2.4574 9.4174
Ce Pr Zn Si
2 1 2 2
Direct
0.1417 0.1417 0.1417 Ce
0.8583 0.8583 0.8583 Ce
0.0000 0.0000 0.0000 Pr
0.4062 0.4062 0.4062 Zn
0.5938 0.5938 0.5938 Zn
0.2601 0.2601 0.2601 Si
0.7399 0.7399 0.7399 Si



CePrSm6, optimized geometry, DFT PBE; total moment = 0.806 μB per formula unit; space group = P4/mmm (123); crystal system = tetragonal; formation energy = 45 meV per atom
1.0
5.1285 0.0000 0.0000
0.0000 5.1285 0.0000
0.0000 0.0000 10.2449
Ce Pr Sm
1 1 6
Direct
0.0000 0.0000 0.0000 Ce
0.0000 0.0000 0.5000 Pr
0.0000 0.5000 0.2455 Sm
0.0000 0.5000 0.7545 Sm
0.5000 0.0000 0.2455 Sm
0.5000 0.0000 0.7545 Sm
0.5000 0.5000 0.0000 Sm
0.5000 0.5000 0.5000 Sm



CePr7Sm12, optimized geometry, DFT PBE; total moment = 0.000 μB per formula unit; space group = R-3 (148); crystal system = trigonal; formation energy = 219 meV per atom
1.0
6.3328 3.6562 5.0163
-6.3328 3.6562 5.0163
0.0000 -7.3124 5.0163
Ce Pr Sm
1 7 12
Direct
0.0000 0.0000 0.0000 Ce
0.0444 0.9458 0.3312 Pr
0.0542 0.6688 0.9556 Pr
0.3312 0.0444 0.9458 Pr
0.5000 0.5000 0.5000 Pr
0.6688 0.9556 0.0542 Pr
0.9458 0.3312 0.0444 Pr
0.9556 0.0542 0.6688 Pr
0.1246 0.4429 0.3742 Sm
0.2161 0.3619 0.7567 Sm
0.2433 0.7839 0.6381 Sm
0.3619 0.7567 0.2161 Sm
0.3742 0.1246 0.4429 Sm
0.4429 0.3742 0.1246 Sm
0.5571 0.6258 0.8754 Sm
0.6258 0.8754 0.5571 Sm
0.6381 0.2433 0.7839 Sm
0.7567 0.2161 0.3619 Sm
0.7839 0.6381 0.2433 Sm
0.8754 0.5571 0.6258 Sm



CePr4Sm3, optimized geometry, DFT PBE; total moment = 0.722 μB per formula unit; space group = C2/m (12); crystal system = monoclinic; formation energy = 236 meV per atom
1.0
12.8131 -1.7485 0.0000
12.8131 1.7485 0.0000
-0.6806 0.0000 6.2454
Ce Pr Sm
1 4 3
Direct
0.0000 0.0000 0.0000 Ce
0.2214 0.2214 0.2357 Pr
0.3967 0.3967 0.7666 Pr
0.6033 0.6033 0.2334 Pr
0.7786 0.7786 0.7643 Pr
0.3578 0.3578 0.2496 Sm
0.5000 0.5000 0.5000 Sm
0.6422 0.6422 0.7504 Sm



Ce2Pr8Sm, optimized geometry, DFT PBE; total moment = 1.678 μB per formula unit; space group = Immm (71); crystal system = orthorhombic; formation energy = 153 meV per atom
1.0
-2.8457 4.2232 8.1075
2.8457 -4.2232 8.1075
2.8457 4.2232 -8.1075
Ce Pr Sm
2 8 1
Direct
0.2000 0.2000 0.0000 Ce
0.8000 0.8000 0.0000 Ce
0.0651 0.3599 0.7052 Pr
0.2025 0.0000 0.2025 Pr
0.3423 0.8423 0.5000 Pr
0.3453 0.6401 0.7052 Pr
0.6547 0.3599 0.2948 Pr
0.6577 0.1577 0.5000 Pr
0.7975 0.0000 0.7975 Pr
0.9349 0.6401 0.2948 Pr
0.5000 0.5000 0.0000 Sm



CePr12Sm7, optimized geometry, DFT PBE; total moment = 1.073 μB per formula unit; space group = R-3 (148); crystal system = trigonal; formation energy = 128 meV per atom; polymorph energy (0 for the lowest one) = 0.00 eV per formula unit
1.0
8.1133 4.6842 3.1063
-8.1133 4.6842 3.1063
0.0000 -9.3684 3.1063
Ce Pr Sm
1 12 7
Direct
0.0000 0.0000 0.0000 Ce
0.0791 0.5825 0.3739 Pr
0.0951 0.1552 0.7310 Pr
0.1552 0.7310 0.0951 Pr
0.2690 0.9049 0.8448 Pr
0.3739 0.0791 0.5825 Pr
0.4175 0.6261 0.9209 Pr
0.5825 0.3739 0.0791 Pr
0.6261 0.9209 0.4175 Pr
0.7310 0.0951 0.1552 Pr
0.8448 0.2690 0.9049 Pr
0.9049 0.8448 0.2690 Pr
0.9209 0.4175 0.6261 Pr
0.1580 0.2856 0.4574 Sm
0.2856 0.4574 0.1580 Sm
0.4574 0.1580 0.2856 Sm
0.5000 0.5000 0.5000 Sm
0.5426 0.8420 0.7144 Sm
0.7144 0.5426 0.8420 Sm
0.8420 0.7144 0.5426 Sm



CePr6Sm, optimized geometry, DFT PBE; total moment = 1.213 μB per formula unit; space group = Fmmm (69); crystal system = orthorhombic; formation energy = 50 meV per atom
1.0
0.0000 5.1978 7.3661
3.6906 0.0000 7.3661
3.6906 5.1978 0.0000
Ce Pr Sm
1 6 1
Direct
0.0000 0.0000 0.0000 Ce
0.1218 0.1218 0.3782 Pr
0.2476 0.2476 0.7524 Pr
0.3782 0.3782 0.1218 Pr
0.6218 0.6218 0.8782 Pr
0.7524 0.7524 0.2476 Pr
0.8782 0.8782 0.6218 Pr
0.5000 0.5000 0.5000 Sm



CePr2Sm8, optimized geometry, DFT PBE; total moment = 1.023 μB per formula unit; space group = C2/m (12); crystal system = monoclinic; formation energy = 38 meV per atom; polymorph energy (0 for the lowest one) = 0.00 eV per formula unit
1.0
9.2718 -2.5695 0.0000
9.2718 2.5695 0.0000
-2.1363 0.0000 7.8541
Ce Pr Sm
1 2 8
Direct
0.0000 0.0000 0.0000 Ce
0.2719 0.2719 0.3621 Pr
0.7281 0.7281 0.6379 Pr
0.0897 0.0897 0.4517 Sm
0.1796 0.1796 0.9080 Sm
0.3658 0.3658 0.8228 Sm
0.4557 0.4557 0.2686 Sm
0.5443 0.5443 0.7314 Sm
0.6342 0.6342 0.1772 Sm
0.8204 0.8204 0.0920 Sm
0.9103 0.9103 0.5483 Sm



CePrSm3, optimized geometry, DFT PBE; total moment = 0.605 μB per formula unit; space group = C2/m (12); crystal system = monoclinic; formation energy = 207 meV per atom
1.0
4.8916 -10.7868 0.0000
4.8916 10.7868 0.0000
-3.2829 0.0000 6.4660
Ce Pr Sm
4 4 12
Direct
0.1145 0.6402 0.8162 Ce
0.3598 0.8855 0.1838 Ce
0.6402 0.1145 0.8162 Ce
0.8855 0.3598 0.1838 Ce
0.1666 0.1666 0.6954 Pr
0.4201 0.4201 0.2147 Pr
0.5799 0.5799 0.7853 Pr
0.8334 0.8334 0.3046 Pr
0.0809 0.9191 0.0000 Sm
0.1743 0.4607 0.0021 Sm
0.1823 0.8177 0.5000 Sm
0.2039 0.4397 0.5041 Sm
0.4397 0.2039 0.5041 Sm
0.4607 0.1743 0.0021 Sm
0.5393 0.8257 0.9979 Sm
0.5603 0.7961 0.4959 Sm
0.7961 0.5603 0.4959 Sm
0.8177 0.1823 0.5000 Sm
0.8257 0.5393 0.9979 Sm
0.9191 0.0809 0.0000 Sm



CePr2Sm6, optimized geometry, DFT PBE; total moment = 1.004 μB per formula unit; space group = C2/m (12); crystal system = monoclinic; formation energy = 154 meV per atom
1.0
5.2331 -3.5266 0.0000
5.2331 3.5266 0.0000
-2.8607 0.0000 8.4345
Ce Pr Sm
1 2 6
Direct
0.0000 0.0000 0.0000 Ce
0.2235 0.2235 0.4623 Pr
0.7765 0.7765 0.5377 Pr
0.2008 0.6781 0.2947 Sm
0.3219 0.7992 0.7053 Sm
0.3386 0.3386 0.9119 Sm
0.6614 0.6614 0.0881 Sm
0.6781 0.2008 0.2947 Sm
0.7992 0.3219 0.7053 Sm



CePr4Sm6, optimized geometry, DFT PBE; total moment = 0.571 μB per formula unit; space group = I-42m (121); crystal system = tetragonal; formation energy = 297 meV per atom
1.0
-3.3812 3.3812 8.5742
3.3812 -3.3812 8.5742
3.3812 3.3812 -8.5742
Ce Pr Sm
1 4 6
Direct
0.0000 0.0000 0.0000 Ce
0.0164 0.6347 0.0000 Pr
0.3653 0.3653 0.3816 Pr
0.6347 0.0164 0.0000 Pr
0.9836 0.9836 0.6184 Pr
0.0000 0.5000 0.5000 Sm
0.1954 0.1954 0.6391 Sm
0.4438 0.8046 0.0000 Sm
0.5000 0.0000 0.5000 Sm
0.5562 0.5562 0.3609 Sm
0.8046 0.4438 0.0000 Sm



CePr4Sm4, optimized geometry, DFT PBE; total moment = 1.220 μB per formula unit; space group = I4/mmm (139); crystal system = tetragonal; formation energy = 43 meV per atom
1.0
-5.4805 5.4805 2.5921
5.4805 -5.4805 2.5921
5.4805 5.4805 -2.5921
Ce Pr Sm
1 4 4
Direct
0.0000 0.0000 0.0000 Ce
0.0000 0.3295 0.3295 Pr
0.0000 0.6705 0.6705 Pr
0.3295 0.0000 0.3295 Pr
0.6705 0.0000 0.6705 Pr
0.3362 0.3362 0.6723 Sm
0.3362 0.6638 0.0000 Sm
0.6638 0.3362 0.0000 Sm
0.6638 0.6638 0.3277 Sm



CePr8Sm6, optimized geometry, DFT PBE; total moment = 0.431 μB per formula unit; space group = R-3 (148); crystal system = trigonal; formation energy = 156 meV per atom
1.0
5.0016 2.8877 6.0446
-5.0016 2.8877 6.0446
0.0000 -5.7753 6.0446
Ce Pr Sm
1 8 6
Direct
0.0000 0.0000 0.0000 Ce
0.0695 0.7734 0.6485 Pr
0.2266 0.3515 0.9305 Pr
0.3515 0.9305 0.2266 Pr
0.4129 0.4129 0.4129 Pr
0.5871 0.5871 0.5871 Pr
0.6485 0.0695 0.7734 Pr
0.7734 0.6485 0.0695 Pr
0.9305 0.2266 0.3515 Pr
0.0785 0.6142 0.2821 Sm
0.2821 0.0785 0.6142 Sm
0.3858 0.7179 0.9215 Sm
0.6142 0.2821 0.0785 Sm
0.7179 0.9215 0.3858 Sm
0.9215 0.3858 0.7179 Sm



CePr6Sm8, optimized geometry, DFT PBE; total moment = 1.284 μB per formula unit; space group = R-3 (148); crystal system = trigonal; formation energy = 119 meV per atom
1.0
4.6394 2.6786 7.0256
-4.6394 2.6786 7.0256
0.0000 -5.3571 7.0256
Ce Pr Sm
1 6 8
Direct
0.0000 0.0000 0.0000 Ce
0.1004 0.2331 0.5405 Pr
0.2331 0.5405 0.1004 Pr
0.4595 0.8996 0.7669 Pr
0.5405 0.1004 0.2331 Pr
0.7669 0.4595 0.8996 Pr
0.8996 0.7669 0.4595 Pr
0.1135 0.7552 0.7138 Sm
0.2448 0.2862 0.8865 Sm
0.2862 0.8865 0.2448 Sm
0.4229 0.4229 0.4229 Sm
0.5771 0.5771 0.5771 Sm
0.7138 0.1135 0.7552 Sm
0.7552 0.7138 0.1135 Sm
0.8865 0.2448 0.2862 Sm



CePr12Sm7, optimized geometry, DFT PBE; total moment = 1.086 μB per formula unit; space group = R-3 (148); crystal system = trigonal; formation energy = 278 meV per atom; polymorph energy (0 for the lowest one) = 3.02 eV per formula unit
1.0
9.5021 5.4860 2.3144
-9.5021 5.4860 2.3144
0.0000 -10.9721 2.3144
Ce Pr Sm
1 12 7
Direct
0.0000 0.0000 0.0000 Ce
0.0876 0.5139 0.2999 Pr
0.2012 0.2721 0.7503 Pr
0.2497 0.7988 0.7279 Pr
0.2721 0.7503 0.2012 Pr
0.2999 0.0876 0.5139 Pr
0.4861 0.7001 0.9124 Pr
0.5139 0.2999 0.0876 Pr
0.7001 0.9124 0.4861 Pr
0.7279 0.2497 0.7988 Pr
0.7503 0.2012 0.2721 Pr
0.7988 0.7279 0.2497 Pr
0.9124 0.4861 0.7001 Pr
0.0676 0.2026 0.3648 Sm
0.2026 0.3648 0.0676 Sm
0.3648 0.0676 0.2026 Sm
0.5000 0.5000 0.5000 Sm
0.6352 0.9324 0.7974 Sm
0.7974 0.6352 0.9324 Sm
0.9324 0.7974 0.6352 Sm



CePr10Sm6, optimized geometry, DFT PBE; total moment = 0.870 μB per formula unit; space group = P-31m (162); crystal system = trigonal; formation energy = 144 meV per atom
1.0
9.9764 0.0000 0.0000
-4.9882 8.6398 0.0000
0.0000 0.0000 7.0306
Ce Pr Sm
1 10 6
Direct
0.0000 0.0000 0.0000 Ce
0.0000 0.2696 0.3115 Pr
0.0000 0.7304 0.6885 Pr
0.2696 0.0000 0.3115 Pr
0.2696 0.2696 0.6885 Pr
0.3333 0.6667 0.0000 Pr
0.3333 0.6667 0.5000 Pr
0.6667 0.3333 0.0000 Pr
0.6667 0.3333 0.5000 Pr
0.7304 0.0000 0.6885 Pr
0.7304 0.7304 0.3115 Pr
0.0000 0.3746 0.8019 Sm
0.0000 0.6254 0.1981 Sm
0.3746 0.0000 0.8019 Sm
0.3746 0.3746 0.1981 Sm
0.6254 0.0000 0.1981 Sm
0.6254 0.6254 0.8019 Sm



CePr8Sm2, optimized geometry, DFT PBE; total moment = 0.991 μB per formula unit; space group = Immm (71); crystal system = orthorhombic; formation energy = 113 meV per atom
1.0
-2.8923 4.1673 8.1049
2.8923 -4.1673 8.1049
2.8923 4.1673 -8.1049
Ce Pr Sm
1 8 2
Direct
0.0000 0.0000 0.0000 Ce
0.1567 0.8656 0.2912 Pr
0.1613 0.6613 0.5000 Pr
0.2875 0.5000 0.7875 Pr
0.4256 0.1344 0.2912 Pr
0.5744 0.8656 0.7088 Pr
0.7125 0.5000 0.2125 Pr
0.8387 0.3387 0.5000 Pr
0.8433 0.1344 0.7088 Pr
0.3001 0.3001 0.0000 Sm
0.6999 0.6999 0.0000 Sm



CePr6Sm4, optimized geometry, DFT PBE; total moment = 1.007 μB per formula unit; space group = I-42m (121); crystal system = tetragonal; formation energy = 291 meV per atom
1.0
-3.2938 3.2938 9.0256
3.2938 -3.2938 9.0256
3.2938 3.2938 -9.0256
Ce Pr Sm
1 6 4
Direct
0.0000 0.0000 0.0000 Ce
0.0000 0.5000 0.5000 Pr
0.1836 0.1836 0.6312 Pr
0.4476 0.8164 0.0000 Pr
0.5000 0.0000 0.5000 Pr
0.5524 0.5524 0.3688 Pr
0.8164 0.4476 0.0000 Pr
0.0087 0.6299 0.0000 Sm
0.3701 0.3701 0.3788 Sm
0.6299 0.0087 0.0000 Sm
0.9913 0.9913 0.6212 Sm